# 1
VASP calculation (PBE-GGA) on a relaxed structure of Tl2Pd6Pb.

abc: 4.9689 4.9689 8.8225
angles: 100.61 100.61 50.44
Atoms (fractional coordinates):
Tl: 0.1983 0.1983 0.2570
Tl: 0.8017 0.8017 0.7430
Pd: 0.1530 0.1530 0.5574
Pd: 0.1624 0.1624 0.8938
Pd: 0.4826 0.4826 0.6633
Pd: 0.5174 0.5174 0.3367
Pd: 0.8376 0.8376 0.1062
Pd: 0.8470 0.8470 0.4426
Pb: 0.5000 0.5000 0.0000

- N(E_F) (states/eV/f.u.) = 4.94
- E_form (eV per atom) = -0.1486

# 2
VASP calculation (PBE-GGA) on a relaxed structure of OsRu3.

abc: 8.9731 8.9731 8.9731
angles: 17.38 17.38 17.38
Atoms (fractional coordinates):
Os: 0.0000 0.0000 0.0000
Ru: 0.2500 0.2500 0.2500
Ru: 0.5000 0.5000 0.5000
Ru: 0.7500 0.7500 0.7500

- N(E_F) (states/eV/f.u.) = 5.63
- E_form (eV per atom) = 0.1299

# 3
VASP calculation (PBE-GGA) on a relaxed structure of NaLaIn4O8.

abc: 6.6388 6.6388 6.6388
angles: 60.25 60.25 60.25
Atoms (fractional coordinates):
Na: 0.0000 0.0000 0.0000
La: 0.3821 0.3821 0.3821
In: 0.0019 0.0019 0.4966
In: 0.0019 0.4966 0.0019
In: 0.4966 0.0019 0.0019
In: 0.6174 0.6174 0.6174
O: 0.2265 0.7461 0.7461
O: 0.2390 0.2390 0.2390
O: 0.2469 0.2469 0.7936
O: 0.2469 0.7936 0.2469
O: 0.7461 0.2264 0.7461
O: 0.7461 0.7461 0.2265
O: 0.7534 0.7534 0.7534
O: 0.7936 0.2469 0.2469

- electronic total energy (eV/cell) = -82.856

# 4
VASP calculation (PBE-GGA) on a relaxed structure of B5C.

abc: 6.5356 6.5356 5.0041
angles: 100.70 100.70 24.04
Atoms (fractional coordinates):
B: 0.0735 0.0735 0.0433
B: 0.1004 0.1004 0.6948
B: 0.2116 0.2116 0.9263
B: 0.2272 0.2272 0.5705
B: 0.3671 0.3671 0.6656
B: 0.6329 0.6329 0.3344
B: 0.7728 0.7728 0.4295
B: 0.7884 0.7884 0.0737
B: 0.8996 0.8996 0.3052
B: 0.9265 0.9265 0.9567
C: 0.4440 0.4440 0.4452
C: 0.5560 0.5560 0.5548

- ΔE to the lowest computed polymorph (meV per atom) = 261
- N(E_F) (states/eV/f.u.) = 0.74
- E_form (eV per atom) = 0.4576

# 5
VASP calculation (PBE-GGA) on a relaxed structure of K3Nd2NpSe6.

abc: 7.5036 7.5036 8.0901
angles: 98.88 98.88 119.95
Atoms (fractional coordinates):
K: 0.0000 0.0000 0.0000
K: 0.3320 0.6680 0.0000
K: 0.6680 0.3320 0.0000
Nd: 0.1659 0.8341 0.5000
Nd: 0.8341 0.1659 0.5000
Np: 0.5000 0.5000 0.5000
Se: 0.1010 0.4299 0.2905
Se: 0.2410 0.2410 0.7104
Se: 0.4299 0.1010 0.2905
Se: 0.5701 0.8990 0.7095
Se: 0.7590 0.7590 0.2896
Se: 0.8990 0.5701 0.7095

- electronic total energy (eV/cell) = -65.625
- N(E_F) (states/eV/f.u.) = 6.55

# 6
VASP calculation (PBE-GGA) on a relaxed structure of PmLuZnPt.

abc: 5.0019 5.0019 5.0019
angles: 60.00 60.00 60.00
Atoms (fractional coordinates):
Pm: 0.0000 0.0000 0.0000
Lu: 0.5000 0.5000 0.5000
Zn: 0.2500 0.2500 0.2500
Pt: 0.7500 0.7500 0.7500

- N(E_F) (states/eV/f.u.) = 3.12
- E_form (eV per atom) = -0.7550

# 7
VASP calculation (PBE-GGA) on a relaxed structure of AgMoSe.

abc: 3.0849 3.0849 6.9717
angles: 90.00 90.00 120.00
Atoms (fractional coordinates):
Ag: 0.0000 0.0000 0.0000
Mo: 0.3333 0.6667 0.3376
Se: 0.6667 0.3333 0.5861

- ΔE to the lowest computed polymorph (meV per atom) = 0
- N(E_F) (states/eV/f.u.) = 1.37

# 8
VASP calculation (PBE-GGA) on a relaxed structure of B2C.

abc: 3.7274 4.5861 5.6582
angles: 103.67 93.69 109.98
Atoms (fractional coordinates):
B: 0.0000 0.0000 0.0000
B: 0.0054 0.9317 0.4328
B: 0.0559 0.3595 0.9149
B: 0.2508 0.0981 0.7321
B: 0.3567 0.6940 0.6199
B: 0.3992 0.7088 0.1475
B: 0.6091 0.3215 0.3756
B: 0.9682 0.3278 0.5973
C: 0.2611 0.0048 0.2228
C: 0.5846 0.6559 0.3839
C: 0.5947 0.6840 0.8751
C: 0.6734 0.3735 0.8010

- ΔE to the lowest computed polymorph (meV per atom) = 213
- N(E_F) (states/eV/f.u.) = 0.49
- E_form (eV per atom) = 0.3979

# 9
VASP calculation (PBE-GGA) on a relaxed structure of PmEr5Sc.

abc: 8.4823 3.5187 14.2814
angles: 90.00 91.96 90.00
Atoms (fractional coordinates):
Pm: 0.1314 0.2500 0.1914
Pm: 0.8686 0.7500 0.8086
Er: 0.0316 0.7500 0.3942
Er: 0.1596 0.2500 0.9479
Er: 0.2788 0.7500 0.7391
Er: 0.3292 0.2500 0.5165
Er: 0.4455 0.7500 0.0969
Er: 0.5545 0.2500 0.9031
Er: 0.6708 0.7500 0.4835
Er: 0.7212 0.2500 0.2609
Er: 0.8404 0.7500 0.0521
Er: 0.9684 0.2500 0.6058
Sc: 0.4003 0.7500 0.3206
Sc: 0.5997 0.2500 0.6794

- ΔE to the lowest computed polymorph (meV per atom) = 0
- N(E_F) (states/eV/f.u.) = 11.56
- E_form (eV per atom) = 0.0264

# 10
VASP calculation (PBE-GGA) on a relaxed structure of LaSc2W.

abc: 5.2331 5.2331 6.3797
angles: 92.90 92.90 33.62
Atoms (fractional coordinates):
La: 0.0000 0.0000 0.0000
Sc: 0.5048 0.5048 0.5422
Sc: 0.7577 0.7577 0.3238
W: 0.2420 0.2420 0.7102

- N(E_F) (states/eV/f.u.) = 4.44
- E_form (eV per atom) = 0.4110

# 11
VASP calculation (PBE-GGA) on a relaxed structure of AcNpPb2O6.

abc: 6.3692 6.3692 4.6473
angles: 90.00 90.00 90.00
Atoms (fractional coordinates):
Ac: 0.0000 0.0000 0.0000
Np: 0.5000 0.5000 0.0811
Pb: 0.0000 0.5000 0.4181
Pb: 0.5000 0.0000 0.4181
O: 0.0000 0.0000 0.5109
O: 0.2698 0.2698 0.1286
O: 0.2698 0.7302 0.1286
O: 0.5000 0.5000 0.5890
O: 0.7302 0.2698 0.1286
O: 0.7302 0.7302 0.1286

- electronic total energy (eV/cell) = -75.749
- N(E_F) (states/eV/f.u.) = 4.02

# 12
VASP calculation (PBE-GGA) on a relaxed structure of BeGaOF2.

abc: 3.2606 3.2606 4.7235
angles: 90.00 90.00 90.00
Atoms (fractional coordinates):
Be: 0.0000 0.0000 0.0000
Ga: 0.5000 0.5000 0.5000
O: 0.0000 0.0000 0.5000
F: 0.0000 0.5000 0.0000
F: 0.5000 0.0000 0.0000

- ΔE to the lowest computed polymorph (meV per atom) = 0
- N(E_F) (states/eV/f.u.) = 0.87

# 13
VASP calculation (PBE-GGA) on a relaxed structure of CsINO2.

abc: 4.3420 4.3420 4.4268
angles: 90.00 90.00 90.00
Atoms (fractional coordinates):
Cs: 0.0000 0.0000 0.0000
I: 0.5000 0.5000 0.5000
N: 0.5000 0.5000 0.0000
O: 0.0000 0.5000 0.5000
O: 0.5000 0.0000 0.5000

- electronic total energy (eV/cell) = -19.169
- N(E_F) (states/eV/f.u.) = 2.37

# 14
VASP calculation (PBE-GGA) on a relaxed structure of Pm5Ho12In2.

abc: 8.9894 8.9894 8.3655
angles: 91.84 91.84 62.28
Atoms (fractional coordinates):
Pm: 0.0000 0.0000 0.0000
Pm: 0.2335 0.2335 0.0768
Pm: 0.3053 0.3053 0.4882
Pm: 0.6947 0.6947 0.5118
Pm: 0.7665 0.7665 0.9232
Ho: 0.0390 0.6716 0.2641
Ho: 0.0785 0.0785 0.3807
Ho: 0.1801 0.5665 0.8309
Ho: 0.3284 0.9610 0.7359
Ho: 0.4335 0.8199 0.1691
Ho: 0.4464 0.4464 0.1739
Ho: 0.5536 0.5536 0.8261
Ho: 0.5665 0.1801 0.8309
Ho: 0.6716 0.0390 0.2641
Ho: 0.8199 0.4335 0.1691
Ho: 0.9215 0.9215 0.6193
Ho: 0.9610 0.3284 0.7359
In: 0.3219 0.6781 0.5000
In: 0.6781 0.3219 0.5000

- N(E_F) (states/eV/f.u.) = 26.40
- E_form (eV per atom) = -0.0121

# 15
VASP calculation (PBE-GGA) on a relaxed structure of TbEuGdHo.

abc: 5.7487 5.7487 5.7487
angles: 60.00 60.00 60.00
Atoms (fractional coordinates):
Tb: 0.0000 0.0000 0.0000
Eu: 0.7500 0.7500 0.7500
Gd: 0.2500 0.2500 0.2500
Ho: 0.5000 0.5000 0.5000

- N(E_F) (states/eV/f.u.) = 7.85
- E_form (eV per atom) = 0.1553

# 16
VASP calculation (PBE-GGA) on a relaxed structure of LiLaMg6.

abc: 9.2122 9.2122 9.2122
angles: 32.23 32.23 32.23
Atoms (fractional coordinates):
Li: 0.0000 0.0000 0.0000
La: 0.5000 0.5000 0.5000
Mg: 0.1111 0.1111 0.1111
Mg: 0.2468 0.2468 0.2468
Mg: 0.3696 0.3696 0.3696
Mg: 0.6304 0.6304 0.6304
Mg: 0.7532 0.7532 0.7532
Mg: 0.8889 0.8889 0.8889

- ΔE to the lowest computed polymorph (meV per atom) = 0
- N(E_F) (states/eV/f.u.) = 6.33
- E_form (eV per atom) = -0.0521

# 17
VASP calculation (PBE-GGA) on a relaxed structure of Sb2RuPt.

abc: 8.1522 8.1522 8.1522
angles: 23.73 23.73 23.73
Atoms (fractional coordinates):
Sb: 0.2486 0.2486 0.2486
Sb: 0.7514 0.7514 0.7514
Ru: 0.5000 0.5000 0.5000
Pt: 0.0000 0.0000 0.0000

- ΔE to the lowest computed polymorph (meV per atom) = 125
- N(E_F) (states/eV/f.u.) = 1.76

# 18
VASP calculation (PBE-GGA) on a relaxed structure of Al2InRu2.

abc: 7.1607 7.1607 2.9972
angles: 90.00 90.00 90.00
Atoms (fractional coordinates):
Al: 0.1290 0.3710 0.0000
Al: 0.3710 0.8710 0.0000
Al: 0.6290 0.1290 0.0000
Al: 0.8710 0.6290 0.0000
In: 0.0000 0.0000 0.0000
In: 0.5000 0.5000 0.0000
Ru: 0.1652 0.6652 0.5000
Ru: 0.3348 0.1652 0.5000
Ru: 0.6652 0.8348 0.5000
Ru: 0.8348 0.3348 0.5000

- ΔE to the lowest computed polymorph (meV per atom) = 46
- N(E_F) (states/eV/f.u.) = 2.36
- E_form (eV per atom) = -0.3245

# 19
VASP calculation (PBE-GGA) on a relaxed structure of BaSrYCd2.

abc: 5.8538 5.8538 6.1111
angles: 90.00 90.00 90.00
Atoms (fractional coordinates):
Ba: 0.0000 0.0000 0.0000
Sr: 0.0000 0.0000 0.5000
Y: 0.5000 0.5000 0.0000
Cd: 0.0000 0.5000 0.5000
Cd: 0.5000 0.0000 0.5000

- N(E_F) (states/eV/f.u.) = 5.26
- E_form (eV per atom) = 0.7406

# 20
VASP calculation (PBE-GGA) on a relaxed structure of Nd3SiH2.

abc: 4.9944 12.5072 3.9178
angles: 90.00 90.00 90.00
Atoms (fractional coordinates):
Nd: 0.2500 0.0632 0.2423
Nd: 0.2500 0.4368 0.2423
Nd: 0.2500 0.7500 0.6822
Nd: 0.7500 0.2500 0.3178
Nd: 0.7500 0.5632 0.7577
Nd: 0.7500 0.9368 0.7577
Si: 0.2500 0.2500 0.7618
Si: 0.7500 0.7500 0.2382
H: 0.2500 0.5549 0.7368
H: 0.2500 0.9451 0.7368
H: 0.7500 0.0549 0.2632
H: 0.7500 0.4451 0.2632

- electronic total energy (eV/cell) = -58.372
- N(E_F) (states/eV/f.u.) = 3.56

# 21
VASP calculation (PBE-GGA) on a relaxed structure of Ga5SiRh6.

abc: 7.3279 7.3279 4.1645
angles: 106.43 106.43 117.37
Atoms (fractional coordinates):
Ga: 0.0000 0.0000 0.0000
Ga: 0.1630 0.8370 0.5000
Ga: 0.3276 0.6724 0.0000
Ga: 0.6724 0.3276 0.0000
Ga: 0.8370 0.1630 0.5000
Si: 0.5000 0.5000 0.5000
Rh: 0.0950 0.4212 0.2583
Rh: 0.2663 0.2663 0.7666
Rh: 0.4212 0.0950 0.2583
Rh: 0.5788 0.9050 0.7417
Rh: 0.7337 0.7337 0.2334
Rh: 0.9050 0.5788 0.7417

- electronic total energy (eV/cell) = -72.743
- N(E_F) (states/eV/f.u.) = 5.13

# 22
VASP calculation (PBE-GGA) on a relaxed structure of NdMgAgPd.

abc: 4.7072 4.7072 5.3729
angles: 115.86 115.86 59.92
Atoms (fractional coordinates):
Nd: 0.0000 0.0000 0.0000
Mg: 0.4904 0.4904 0.4707
Ag: 0.2191 0.2191 0.6581
Pd: 0.7835 0.7835 0.3494

- N(E_F) (states/eV/f.u.) = 2.01
- E_form (eV per atom) = -0.5057